The following is a PBE-GGA calculation of crystalline Pt2SO7 at its relaxed geometry, from OQMD via LeMat-Bulk.

Values from the calculation:
ρ	7.96	g/cm³
VASP energy	-5.527	eV per atom

```
20
Lattice="8.264 0.000 0.000 0.000 6.684 0.000 0.000 0.000 4.034" Properties=species:S:1:pos:R:3 pbc="T T T"
Pt 1.745 1.180 0.000
Pt 2.387 5.504 2.017
Pt 5.877 5.504 2.017
Pt 6.519 1.180 0.000
S 0.000 3.356 2.867
S 4.132 3.328 0.850
O 0.000 0.349 4.030
O 0.000 2.378 1.828
O 0.000 4.784 2.374
O 1.235 3.199 3.740
O 2.053 0.812 2.074
O 2.079 5.872 0.057
O 2.897 3.485 1.723
O 4.132 1.900 0.357
O 4.132 4.306 3.845
O 4.132 6.335 2.013
O 5.367 3.485 1.723
O 6.185 5.872 0.057
O 6.211 0.812 2.074
O 7.029 3.199 3.740
```